This record from the Alexandria database describes a relaxed structure of Nd3Al7Zn2. The functional is PBE.

Results
**Space group**: R-3m
**Formation enthalpy at 0 K**: -433 meV per atom

Geometry as POSCAR:
```
Nd3Al7Zn2
1.0
2.820 1.628 8.784
-2.820 1.628 8.784
0.000 -3.257 8.784
Nd Al Zn
3 7 2
direct
0.000 0.000 0.000
0.141 0.141 0.141
0.859 0.859 0.859
0.075 0.584 0.584
0.416 0.416 0.925
0.416 0.925 0.416
0.500 0.500 0.500
0.584 0.075 0.584
0.584 0.584 0.075
0.925 0.416 0.416
0.335 0.335 0.335
0.665 0.665 0.665
```

This record from the Alexandria database describes a relaxed structure of Pd2SCl. The functional is PBE.

Results
**Space group**: I-42d
**Final energy**: -4.226 eV/atom

Geometry as POSCAR:
```
Pd2SCl
1.0
-3.031 3.031 4.608
3.031 -3.031 4.608
3.031 3.031 -4.608
Pd S Cl
4 2 2
direct
0.076 0.625 0.951
0.375 0.326 0.451
0.674 0.125 0.049
0.875 0.924 0.549
0.000 0.000 0.000
0.750 0.250 0.500
0.250 0.750 0.500
0.500 0.500 0.000
```

This record from the Alexandria database describes a relaxed structure of Y2HPdPt. The functional is PBE.

Results
**Space group**: P4/mmm
**Final energy**: -6.400 eV/atom

Geometry as POSCAR:
```
Y2HPdPt
1.0
4.928 0.000 0.000
0.000 4.928 0.000
0.000 0.000 3.664
Y H Pd Pt
2 1 1 1
direct
0.000 0.500 0.000
0.500 0.000 0.000
0.000 0.000 0.000
0.000 0.000 0.500
0.500 0.500 0.500
```

| no. | size of the total moment (μB/cell) |
| --- | --- |
| 1 | 0.0 |
| 2 | 0.0 |
| 3 | 0.0 |